No. 1
# CdCu2Mo

A relaxed structure of CdCu2Mo (PBE-GGA, the Alexandria database).

Cell: 9.277 9.277 9.277 Å, 17.22 17.22 17.22°
Fractional coordinates of all 4 atoms:
Cd1 0.000 0.000 0.000
Cu1 0.492 0.492 0.492
Cu2 0.753 0.753 0.753
Mo1 0.238 0.238 0.238

Summary:
Crystal system = trigonal
Space group = No. 160
DFT total energy = -18.63 eV per cell
Formation energy from the elements = 0.327 eV per atom



No. 2
# Ac6Bi2SbTe3

A relaxed structure of Ac6Bi2SbTe3 (PBE-GGA, the Alexandria database).

Cell: 10.720 10.720 9.567 Å, 102.61 102.61 25.92°
Fractional coordinates of all 12 atoms:
Ac1 0.000 0.000 0.243
Ac2 0.000 0.000 0.757
Ac3 0.333 0.333 0.418
Ac4 0.336 0.336 0.917
Ac5 0.664 0.664 0.083
Ac6 0.667 0.667 0.582
Bi1 0.167 0.167 0.333
Bi2 0.833 0.833 0.667
Sb1 0.500 0.500 0.000
Te1 0.168 0.168 0.834
Te2 0.500 0.500 0.500
Te3 0.832 0.832 0.166

Summary:
Crystal system = monoclinic
Space group = No. 12
Formation energy from raw total energies = -1.315 eV/atom
DFT total energy = -61.74 eV per cell



> Among the records above, which one has the lowest DFT total energy?

Ac6Bi2SbTe3



> Which of these has the highest DFT total energy?

CdCu2Mo



Repeat the second record exactly.
# Ac6Bi2SbTe3

A relaxed structure of Ac6Bi2SbTe3 (PBE-GGA, the Alexandria database).

Cell: 10.720 10.720 9.567 Å, 102.61 102.61 25.92°
Fractional coordinates of all 12 atoms:
Ac1 0.000 0.000 0.243
Ac2 0.000 0.000 0.757
Ac3 0.333 0.333 0.418
Ac4 0.336 0.336 0.917
Ac5 0.664 0.664 0.083
Ac6 0.667 0.667 0.582
Bi1 0.167 0.167 0.333
Bi2 0.833 0.833 0.667
Sb1 0.500 0.500 0.000
Te1 0.168 0.168 0.834
Te2 0.500 0.500 0.500
Te3 0.832 0.832 0.166

Summary:
Crystal system = monoclinic
Space group = No. 12
Formation energy from raw total energies = -1.315 eV/atom
DFT total energy = -61.74 eV per cell